No. 1
The following is a PBE calculation of a geometry-optimized LaTbDyHo structure, from Alexandria.

Summary:
V	33.3	Å³ per atom
symmetry	F-43m, No. 216
polymorph energy (0 for the lowest one)	0	meV/atom

Cell lengths 5.735, 5.735, 5.735 Å; angles 60.00, 60.00, 60.00 degrees
Fractional positions:
La1 0.250 0.250 0.250
Tb1 0.750 0.750 0.750
Ho1 0.000 0.000 0.000
Dy1 0.500 0.500 0.500

No. 2
The following is a PBE calculation of a geometry-optimized Sm4Zn2Hg structure, from Alexandria.

Summary:
V	27.5	Å³ per atom
symmetry	R-3m, No. 166

Cell lengths 5.175, 5.175, 8.816 Å; angles 72.93, 72.93, 60.00 degrees
Fractional positions:
Sm1 0.870 0.870 0.391
Sm2 0.130 0.130 0.609
Sm3 0.618 0.618 0.147
Sm4 0.382 0.382 0.853
Zn1 0.748 0.748 0.756
Zn2 0.252 0.252 0.244
Hg1 0.000 0.000 0.000

No. 3
The following is a PBE calculation of a geometry-optimized NbNiWC2 structure, from Alexandria.

Summary:
V	16.9	Å³ per atom
symmetry	P4/mmm, No. 123

Cell lengths 4.037, 5.190, 4.037 Å; angles 90.00, 90.00, 90.00 degrees
Fractional positions:
Ni1 0.500 0.500 0.500
Nb1 0.000 0.000 0.000
C1 0.000 0.000 0.500
C2 0.500 0.000 0.000
W1 0.000 0.500 0.000

No. 4
The following is a PBE calculation of a geometry-optimized Tb12PrTh3 structure, from Alexandria.

Summary:
V	32.2	Å³ per atom
symmetry	P4/mmm, No. 123

Cell lengths 5.050, 5.050, 20.191 Å; angles 90.00, 90.00, 90.00 degrees
Fractional positions:
Tb1 0.500 0.500 0.000
Tb2 0.500 0.500 0.251
Tb3 0.500 0.500 0.500
Tb4 0.500 0.500 0.749
Tb5 0.500 0.000 0.129
Tb6 0.500 0.000 0.376
Tb7 0.500 0.000 0.624
Tb8 0.500 0.000 0.871
Tb9 0.000 0.500 0.129
Tb10 0.000 0.500 0.376
Tb11 0.000 0.500 0.624
Tb12 0.000 0.500 0.871
Pr1 0.000 0.000 0.000
Th1 0.000 0.000 0.251
Th2 0.000 0.000 0.500
Th3 0.000 0.000 0.749

| no. | uncorrected energy (eV/atom) | Fermi-level density of states (states/eV/f.u.) |
| --- | --- | --- |
| 1 | -4.56 | 7.60 |
| 2 | -3.32 | 9.51 |
| 3 | -7.02 | 4.28 |
| 4 | -5.13 | 21.76 |